CeGa3Pd3 | GGA-PBE | optimized geometry

Geometry as POSCAR:
```
CeGa3Pd3
1.0
-2.2390 -5.6938 3.1148
-0.5456 -5.8592 -3.5365
5.0022 -5.3368 1.4063
Ga Pd Ce
6 6 2
direct
0.4570 0.2631 0.3778
0.9021 0.4570 0.3778
0.5430 0.7369 0.6222
0.2631 0.9021 0.3778
0.7369 0.0979 0.6222
0.0979 0.5430 0.6222
0.0791 0.8244 0.7917
0.3048 0.0791 0.7917
0.6952 0.9209 0.2083
0.1756 0.6952 0.2083
0.9209 0.1756 0.2083
0.8244 0.3048 0.7917
0.6602 0.6602 0.0193
0.3398 0.3398 0.9807
```

Results
- Space-group type: No. 148
- Uncorrected energy: -69.31 eV per cell
- Calculated volume: 18.4 A^3/atom
- Crystal system: trigonal
- Energy of formation from the pure elements: -0.580 eV per atom